DFT (GGA-PBEsol) results for a geometry-optimized Nb2Si2Os structure.

## Properties
formation energy from raw total energies: -58.3 kJ per mole of atoms
crystal system: tetragonal

```
data_Nb2Si2Os
_chemical_formula_sum 'Nb4 Si4 Os2'
_cell_length_a 6.0834
_cell_length_b 6.0834
_cell_length_c 4.0742
_cell_angle_alpha 90.00
_cell_angle_beta 90.00
_cell_angle_gamma 90.00
_symmetry_space_group_name_H-M 'P 4/m b m'
_symmetry_Int_Tables_number 127
_symmetry_space_group_name_Hall '-P 4 2ab'
loop_
_atom_site_label
_atom_site_type_symbol
_atom_site_fract_x
_atom_site_fract_y
_atom_site_fract_z
_atom_site_occupancy
Nb1 Nb 0.1604 0.3396 0.0000 1
Si1 Si 0.1381 0.6381 0.5000 1
Os1 Os 0.0000 0.0000 0.5000 1
```



DFT (GGA-PBEsol) results for a geometry-optimized PPdBr2 structure.

## Properties
formation energy from raw total energies: 54.2 kJ per mole of atoms
crystal system: cubic

```
data_PPdBr2
_chemical_formula_sum 'P4 Pd4 Br8'
_cell_length_a 6.6525
_cell_length_b 6.6525
_cell_length_c 6.6525
_cell_angle_alpha 90.00
_cell_angle_beta 90.00
_cell_angle_gamma 90.00
_symmetry_space_group_name_H-M 'F m -3 m'
_symmetry_Int_Tables_number 225
_symmetry_space_group_name_Hall '-F 4 2 3'
loop_
_atom_site_label
_atom_site_type_symbol
_atom_site_fract_x
_atom_site_fract_y
_atom_site_fract_z
_atom_site_occupancy
P1 P 0.0000 0.0000 0.0000 1
Pd1 Pd 0.0000 0.0000 0.5000 1
Br1 Br 0.2500 0.2500 0.2500 1
```



DFT (GGA-PBEsol) results for a geometry-optimized Ca2MgZr structure.

## Properties
E_form: 0.3241 eV per atom
crystal system: orthorhombic

```
data_Ca2MgZr
_chemical_formula_sum 'Ca2 Mg1 Zr1'
_cell_length_a 3.8574
_cell_length_b 5.3706
_cell_length_c 5.4110
_cell_angle_alpha 90.00
_cell_angle_beta 90.00
_cell_angle_gamma 90.00
_symmetry_space_group_name_H-M 'P m m m'
_symmetry_Int_Tables_number 47
loop_
_symmetry_equiv_pos_as_xyz
'x,y,z'
'-x,-y,-z'
'-x,-y,z'
'x,y,-z'
'x,-y,-z'
'-x,y,z'
'-x,y,-z'
'x,-y,z'
loop_
_atom_site_label
_atom_site_type_symbol
_atom_site_fract_x
_atom_site_fract_y
_atom_site_fract_z
_atom_site_occupancy
Ca1 Ca 0.0000 0.0000 0.0000 1
Ca2 Ca 0.5000 0.5000 0.0000 1
Mg1 Mg 0.0000 0.5000 0.5000 1
Zr1 Zr 0.5000 0.0000 0.5000 1
```